No. 1
Material: TlZnSbAu2
Method: DFT, PBE
State: optimized geometry

Output
The value obtained for the formation energy (no corrections) is 0.776 eV/atom. Its volume is 161.39 Å³ per cell. The value obtained for the density of states at the Fermi level is 0.3260 states/eV per atom. The value obtained for the total magnetization is 0.000 μB per atom. Its space group is P4/mmm.

a = 5.2635 Å, b = 5.8255 Å, c = 5.2635 Å
α = 90.00°, β = 90.00°, γ = 90.00°
Element x y z (fractional)
Sb: 0.0000 0.5000 0.0000
Tl: 0.0000 0.0000 0.0000
Au: 0.0000 0.0000 0.5000
Au: 0.5000 0.0000 0.0000
Zn: 0.5000 0.5000 0.5000

No. 2
Material: TlZnSbAu
Method: DFT, PBE
State: optimized geometry

Output
The value obtained for the formation energy (no corrections) is 0.006 eV/atom. Its volume is 205.36 Å³ per cell. The value obtained for the density of states at the Fermi level is 0.1619 states/eV per atom. The value obtained for the total magnetization is 0.000 μB per atom. Its space group is P4/nmm.

a = 4.0023 Å, b = 4.0023 Å, c = 12.8201 Å
α = 90.00°, β = 90.00°, γ = 90.00°
Element x y z (fractional)
Tl: 0.7500 0.7500 0.3081
Tl: 0.2500 0.2500 0.6919
Zn: 0.7500 0.2500 0.0000
Zn: 0.2500 0.7500 0.0000
Sb: 0.7500 0.7500 0.8535
Sb: 0.2500 0.2500 0.1465
Au: 0.2500 0.7500 0.5000
Au: 0.7500 0.2500 0.5000

No. 3
Material: Tm5Sb2Au
Method: DFT, PBE
State: optimized geometry

Output
The value obtained for the formation energy (no corrections) is -0.450 eV/atom. Its volume is 473.71 Å³ per cell. The value obtained for the density of states at the Fermi level is 0.9239 states/eV per atom. The value obtained for the total magnetization is 0.000 μB per atom. Its space group is Cmcm.

a = 5.7481 Å, b = 6.6162 Å, c = 13.8289 Å
α = 90.00°, β = 90.00°, γ = 115.75°
Element x y z (fractional)
Tm: 0.9374 0.8748 0.8943
Tm: 0.9374 0.8748 0.6057
Tm: 0.3815 0.7630 0.4345
Tm: 0.3815 0.7630 0.0655
Tm: 0.6381 0.2761 0.2500
Tm: 0.3619 0.7239 0.7500
Tm: 0.6185 0.2370 0.5655
Tm: 0.6185 0.2370 0.9345
Tm: 0.0626 0.1252 0.1057
Tm: 0.0626 0.1252 0.3943
Sb: 0.8050 0.6101 0.4092
Sb: 0.8050 0.6101 0.0908
Sb: 0.1950 0.3899 0.5908
Sb: 0.1950 0.3899 0.9092
Au: 0.7623 0.5245 0.7500
Au: 0.2377 0.4755 0.2500

No. 4
Material: Tm2SbAu
Method: DFT, PBE
State: optimized geometry

Output
The value obtained for the formation energy (no corrections) is -0.818 eV/atom. Its volume is 108.62 Å³ per cell. The value obtained for the density of states at the Fermi level is 0.7013 states/eV per atom. The value obtained for the total magnetization is 0.000 μB per atom. Its space group is R-3m.

a = 4.2512 Å, b = 4.2512 Å, c = 7.3609 Å
α = 73.22°, β = 73.22°, γ = 60.00°
Element x y z (fractional)
Sb: 0.5000 0.5000 0.5000
Tm: 0.2546 0.2546 0.2361
Tm: 0.7454 0.7454 0.7639
Au: 0.0000 0.0000 0.0000

No. 5
Material: TmSbAu4
Method: DFT, PBE
State: optimized geometry

Output
The value obtained for the formation energy (no corrections) is -0.370 eV/atom. Its volume is 126.61 Å³ per cell. The value obtained for the density of states at the Fermi level is 0.3346 states/eV per atom. The value obtained for the total magnetization is 0.000 μB per atom. Its space group is F-43m.

a = 5.6363 Å, b = 5.6363 Å, c = 5.6363 Å
α = 60.00°, β = 60.00°, γ = 60.00°
Element x y z (fractional)
Sb: 0.0000 0.0000 0.0000
Tm: 0.2500 0.2500 0.2500
Au: 0.6248 0.6248 0.1257
Au: 0.6248 0.1257 0.6248
Au: 0.6248 0.6248 0.6248
Au: 0.1257 0.6248 0.6248

No. 6
Material: Tm8Sb2Au3
Method: DFT, PBE
State: optimized geometry

Output
The value obtained for the formation energy (no corrections) is -0.543 eV/atom. Its volume is 367.78 Å³ per cell. The value obtained for the density of states at the Fermi level is 0.8713 states/eV per atom. The value obtained for the total magnetization is 0.000 μB per atom. Its space group is C2/m.

a = 6.4745 Å, b = 6.9891 Å, c = 8.9736 Å
α = 112.92°, β = 99.64°, γ = 90.00°
Element x y z (fractional)
Tm: 0.7745 0.5511 0.1023
Tm: 0.2255 0.4489 0.8977
Tm: 0.8499 0.1454 0.2908
Tm: 0.1501 0.8546 0.7092
Tm: 0.6388 0.6215 0.7405
Tm: 0.6388 0.1190 0.7405
Tm: 0.3612 0.8810 0.2595
Tm: 0.3612 0.3785 0.2595
Sb: 0.2663 0.2731 0.5461
Sb: 0.7337 0.7269 0.4539
Au: 0.5000 0.0000 0.0000
Au: 0.0000 0.1949 0.0000
Au: 0.0000 0.8051 0.0000